The following is a PBE calculation of a geometry-optimized Nd2DyTa2Rh5 structure, from Alexandria via LeMat-Bulk.

extended XYZ file:
```
20
Lattice="-2.9083 -0.8755 -2.2239 -3.5323 -6.6106 7.2218 -5.5850 7.6663 4.2858" Properties=species:S:1:pos:R:3 pbc="T T T"
Ta -5.2302 -2.9042 7.9831
Ta -7.1047 2.6469 8.2492
Ta -2.0126 -1.5912 3.2584
Ta -3.8871 3.9599 3.5245
Rh -9.4545 1.5702 8.5602
Rh -4.2466 3.3954 1.0310
Rh -5.5974 2.0053 3.3447
Rh -6.4281 -1.8251 5.9390
Rh -2.5710 -1.3900 0.7235
Rh -6.0497 5.1507 2.6979
Rh -3.2203 -3.7430 2.4990
Rh -5.9759 -4.9705 6.5858
Rh -4.5796 -1.1574 3.2588
Rh -7.4459 1.3376 6.0250
Nd -3.3882 -3.1175 5.6582
Nd -2.4273 1.2932 2.6652
Nd -5.7291 4.1732 5.8494
Nd -6.6900 -0.2375 8.8424
Dy 0.0000 0.0000 0.0000
Dy -4.5586 0.5278 5.7538
```

## Properties
formation energy from the elements = -460 meV/atom
E = -0.5821 Ry per atom
SG = P4/mbm, No. 127